Compound: Pr4Nd5Ho4
Source: the Alexandria database
Functional: GGA-PBE
Structure: relaxed

Total magnetic moment = 0.0 μB/f.u.
Energy of formation from the pure elements = 0.22 eV/f.u.
Raw total energy = -4.6957 eV per atom

Cell lengths 9.656, 9.656, 9.656 Å; angles 94.06, 94.06, 149.13 degrees
Atoms (fractional coordinates):
Pr (0.078, 0.382, 0.460)
Pr (0.382, 0.922, 0.305)
Pr (0.618, 0.078, 0.695)
Pr (0.922, 0.618, 0.540)
Nd (0.000, 0.000, 0.000)
Nd (0.309, 0.541, 0.850)
Nd (0.459, 0.309, 0.768)
Nd (0.541, 0.691, 0.232)
Nd (0.691, 0.459, 0.150)
Ho (0.154, 0.769, 0.923)
Ho (0.231, 0.154, 0.386)
Ho (0.769, 0.846, 0.614)
Ho (0.846, 0.231, 0.077)

Compound: PrNd10Ho6
Source: the Alexandria database
Functional: GGA-PBE
Structure: relaxed

Total magnetic moment = 0.0 μB/f.u.
Energy of formation from the pure elements = 2.24 eV/f.u.
Raw total energy = -4.5694 eV per atom

Cell lengths 9.873, 9.873, 6.932 Å; angles 90.00, 90.00, 120.00 degrees
Atoms (fractional coordinates):
Pr (0.000, 0.000, 0.000)
Nd (0.000, 0.278, 0.320)
Nd (0.000, 0.722, 0.680)
Nd (0.278, 0.000, 0.320)
Nd (0.278, 0.278, 0.680)
Nd (0.333, 0.667, 0.000)
Nd (0.333, 0.667, 0.500)
Nd (0.667, 0.333, 0.000)
Nd (0.667, 0.333, 0.500)
Nd (0.722, 0.000, 0.680)
Nd (0.722, 0.722, 0.320)
Ho (0.000, 0.370, 0.811)
Ho (0.000, 0.630, 0.189)
Ho (0.370, 0.000, 0.811)
Ho (0.370, 0.370, 0.189)
Ho (0.630, 0.000, 0.189)
Ho (0.630, 0.630, 0.811)

Compound: Pr3NdHo5
Source: the Alexandria database
Functional: GGA-PBE
Structure: relaxed

Total magnetic moment = 0.0 μB/f.u.
Energy of formation from the pure elements = 3.32 eV/f.u.
Raw total energy = -4.2970 eV per atom

Cell lengths 9.379, 9.379, 12.414 Å; angles 126.56, 126.56, 51.92 degrees
Atoms (fractional coordinates):
Pr (0.000, 0.000, 0.000)
Pr (0.000, 0.000, 0.500)
Pr (0.297, 0.297, 0.695)
Pr (0.443, 0.443, 0.579)
Pr (0.557, 0.557, 0.421)
Pr (0.703, 0.703, 0.305)
Nd (0.159, 0.159, 0.349)
Nd (0.841, 0.841, 0.651)
Ho (0.087, 0.482, 0.216)
Ho (0.113, 0.113, 0.876)
Ho (0.321, 0.679, 0.000)
Ho (0.360, 0.360, 0.054)
Ho (0.482, 0.087, 0.216)
Ho (0.518, 0.913, 0.784)
Ho (0.640, 0.640, 0.946)
Ho (0.679, 0.321, 0.000)
Ho (0.887, 0.887, 0.124)
Ho (0.913, 0.518, 0.784)

Compound: Pr8NdHo4
Source: the Alexandria database
Functional: GGA-PBE
Structure: relaxed

Total magnetic moment = 0.0 μB/f.u.
Energy of formation from the pure elements = 2.29 eV/f.u.
Raw total energy = -4.5401 eV per atom

Cell lengths 10.526, 10.526, 10.526 Å; angles 41.08, 41.08, 41.08 degrees
Atoms (fractional coordinates):
Pr (0.203, 0.752, 0.752)
Pr (0.215, 0.215, 0.215)
Pr (0.248, 0.248, 0.797)
Pr (0.248, 0.797, 0.248)
Pr (0.752, 0.203, 0.752)
Pr (0.752, 0.752, 0.203)
Pr (0.785, 0.785, 0.785)
Pr (0.797, 0.248, 0.248)
Nd (0.500, 0.500, 0.500)
Ho (0.000, 0.000, 0.000)
Ho (0.000, 0.500, 0.500)
Ho (0.500, 0.000, 0.500)
Ho (0.500, 0.500, 0.000)

Compound: Pr6Nd3Ho
Source: the Alexandria database
Functional: GGA-PBE
Structure: relaxed

Polymorph energy (0 for the lowest one) = 0.074 eV per atom
Total magnetic moment = 0.0 μB/f.u.
Energy of formation from the pure elements = 2.04 eV/f.u.
Raw total energy = -4.5521 eV per atom

Cell lengths 6.766, 6.766, 9.237 Å; angles 104.23, 104.23, 62.22 degrees
Atoms (fractional coordinates):
Pr (0.073, 0.547, 0.199)
Pr (0.124, 0.124, 0.418)
Pr (0.453, 0.927, 0.801)
Pr (0.547, 0.073, 0.199)
Pr (0.876, 0.876, 0.582)
Pr (0.927, 0.453, 0.801)
Nd (0.424, 0.424, 0.833)
Nd (0.500, 0.500, 0.500)
Nd (0.576, 0.576, 0.167)
Ho (0.000, 0.000, 0.000)

Compound: Pr7NdHo3
Source: the Alexandria database
Functional: GGA-PBE
Structure: relaxed

Polymorph energy (0 for the lowest one) = 0.037 eV per atom
Total magnetic moment = 0.0 μB/f.u.
Energy of formation from the pure elements = 2.44 eV/f.u.
Raw total energy = -4.5012 eV per atom

Cell lengths 7.871, 7.871, 6.489 Å; angles 94.64, 94.64, 81.87 degrees
Atoms (fractional coordinates):
Pr (0.000, 0.000, 0.000)
Pr (0.077, 0.429, 0.260)
Pr (0.265, 0.265, 0.786)
Pr (0.429, 0.077, 0.260)
Pr (0.571, 0.923, 0.740)
Pr (0.735, 0.735, 0.214)
Pr (0.923, 0.571, 0.740)
Nd (0.000, 0.000, 0.500)
Ho (0.332, 0.668, 0.000)
Ho (0.500, 0.500, 0.500)
Ho (0.668, 0.332, 0.000)

Compound: Pr6Nd3Ho
Source: the Alexandria database
Functional: GGA-PBE
Structure: relaxed

Polymorph energy (0 for the lowest one) = 0.000 eV per atom
Total magnetic moment = 0.0 μB/f.u.
Energy of formation from the pure elements = 1.30 eV/f.u.
Raw total energy = -4.6257 eV per atom

Cell lengths 11.227, 11.227, 6.578 Å; angles 90.00, 90.00, 120.77 degrees
Atoms (fractional coordinates):
Pr (0.034, 0.966, 0.500)
Pr (0.059, 0.476, 0.992)
Pr (0.278, 0.722, 0.708)
Pr (0.289, 0.371, 0.802)
Pr (0.371, 0.289, 0.302)
Pr (0.476, 0.059, 0.492)
Pr (0.524, 0.941, 0.992)
Pr (0.629, 0.711, 0.802)
Pr (0.711, 0.629, 0.302)
Pr (0.722, 0.278, 0.208)
Pr (0.941, 0.524, 0.492)
Pr (0.966, 0.034, 0.000)
Nd (0.057, 0.292, 0.399)
Nd (0.292, 0.057, 0.899)
Nd (0.384, 0.616, 0.279)
Nd (0.616, 0.384, 0.779)
Nd (0.708, 0.943, 0.399)
Nd (0.943, 0.708, 0.899)
Ho (0.191, 0.809, 0.248)
Ho (0.809, 0.191, 0.748)

Compound: Pr5Nd3Ho
Source: the Alexandria database
Functional: GGA-PBE
Structure: relaxed

Total magnetic moment = 0.0 μB/f.u.
Energy of formation from the pure elements = 3.30 eV/f.u.
Raw total energy = -4.3865 eV per atom

Cell lengths 9.539, 9.539, 12.428 Å; angles 125.92, 125.92, 53.50 degrees
Atoms (fractional coordinates):
Pr (0.019, 0.406, 0.774)
Pr (0.059, 0.059, 0.416)
Pr (0.184, 0.816, 0.000)
Pr (0.346, 0.346, 0.647)
Pr (0.406, 0.019, 0.774)
Pr (0.594, 0.981, 0.226)
Pr (0.654, 0.654, 0.353)
Pr (0.816, 0.184, 0.000)
Pr (0.941, 0.941, 0.584)
Pr (0.981, 0.594, 0.226)
Nd (0.140, 0.140, 0.949)
Nd (0.208, 0.208, 0.301)
Nd (0.500, 0.500, 0.000)
Nd (0.500, 0.500, 0.500)
Nd (0.792, 0.792, 0.699)
Nd (0.860, 0.860, 0.051)
Ho (0.386, 0.386, 0.127)
Ho (0.614, 0.614, 0.873)

What did the second record say?
Compound: PrNd10Ho6
Source: the Alexandria database
Functional: GGA-PBE
Structure: relaxed

Total magnetic moment = 0.0 μB/f.u.
Energy of formation from the pure elements = 2.24 eV/f.u.
Raw total energy = -4.5694 eV per atom

Cell lengths 9.873, 9.873, 6.932 Å; angles 90.00, 90.00, 120.00 degrees
Atoms (fractional coordinates):
Pr (0.000, 0.000, 0.000)
Nd (0.000, 0.278, 0.320)
Nd (0.000, 0.722, 0.680)
Nd (0.278, 0.000, 0.320)
Nd (0.278, 0.278, 0.680)
Nd (0.333, 0.667, 0.000)
Nd (0.333, 0.667, 0.500)
Nd (0.667, 0.333, 0.000)
Nd (0.667, 0.333, 0.500)
Nd (0.722, 0.000, 0.680)
Nd (0.722, 0.722, 0.320)
Ho (0.000, 0.370, 0.811)
Ho (0.000, 0.630, 0.189)
Ho (0.370, 0.000, 0.811)
Ho (0.370, 0.370, 0.189)
Ho (0.630, 0.000, 0.189)
Ho (0.630, 0.630, 0.811)

Question: Which value of energy of formation from the pure elements does entry 7 give?
Answer: 1.30 eV/f.u.

Question: Among the records above, which one has the lowest energy of formation from the pure elements?
Answer: Pr4Nd5Ho4